--- P ---
Compound: TiFeP3
Source: Alexandria via LeMat-Bulk
Functional: GGA-PBE
Structure: optimized geometry

Unit cell a=4.645 b=4.645 c=4.645 alpha=90.00 beta=90.00 gamma=90.00
Atoms (fractional coordinates):
P 0.000 0.500 0.000
P 0.000 0.000 0.500
P 0.500 0.000 0.000
Fe 0.500 0.500 0.500
Ti 0.000 0.000 0.000

---

--- Q ---
Compound: TiFeP3
Source: Alexandria via LeMat-Bulk
Functional: GGA-PBE
Structure: optimized geometry

Unit cell a=4.371 b=4.371 c=4.371 alpha=90.00 beta=90.00 gamma=90.00
Atoms (fractional coordinates):
P 0.000 0.500 0.000
P 0.000 0.000 0.500
P 0.500 0.000 0.000
Fe 0.000 0.000 0.000
Ti 0.500 0.500 0.500

---

Which of the structures shown above is the most stable? The most stable is Q.